1.
## Fe2PBr (GGA-PBEsol)

Data for a relaxed structure of Fe2PBr.

a = 4.161 Å, b = 4.161 Å, c = 2.907 Å
α = 90.00°, β = 90.00°, γ = 90.00°
Element x y z (fractional)
Fe1 0.000 0.500 0.000
Fe2 0.500 0.000 0.000
P1 0.000 0.000 0.500
Br1 0.500 0.500 0.500

Results
Space group ... P4/mmm
M_tot ... 3.3 μB per formula unit
Mass density ... 7.34 Mg/m³
Formation energy without anion corrections ... 438 meV/atom
Relative energy among the computed polymorphs ... 0.96 eV per formula unit



2.
## FePBr (GGA-PBEsol)

Data for a relaxed structure of FePBr.

a = 6.274 Å, b = 6.085 Å, c = 3.043 Å
α = 79.23°, β = 72.32°, γ = 28.45°
Element x y z (fractional)
Fe1 0.000 0.000 0.000
P1 0.604 0.604 0.396
Br1 0.352 0.352 0.648

Results
Space group ... Fmm2
M_tot ... 1.9 μB per formula unit
Mass density ... 5.33 Mg/m³
Formation energy without anion corrections ... 257 meV/atom



3.
## Fe2PBr (GGA-PBEsol)

Data for a relaxed structure of Fe2PBr.

a = 2.958 Å, b = 2.958 Å, c = 6.253 Å
α = 90.00°, β = 90.00°, γ = 90.00°
Element x y z (fractional)
Fe1 0.000 0.000 0.183
Fe2 0.000 0.000 0.817
P1 0.500 0.500 0.000
Br1 0.500 0.500 0.500

Results
Space group ... P4/mmm
M_tot ... 3.5 μB per formula unit
Mass density ... 6.76 Mg/m³
Formation energy without anion corrections ... 197 meV/atom
Relative energy among the computed polymorphs ... 0.00 eV per formula unit



4.
## FeTc2PBr (GGA-PBEsol)

Data for a relaxed structure of FeTc2PBr.

a = 4.529 Å, b = 4.529 Å, c = 4.223 Å
α = 90.00°, β = 90.00°, γ = 90.00°
Element x y z (fractional)
Fe1 0.000 0.000 0.000
Tc1 0.000 0.500 0.500
Tc2 0.500 0.000 0.500
P1 0.500 0.500 0.000
Br1 0.000 0.000 0.500

Results
Space group ... P4/mmm
M_tot ... 3.4 μB per formula unit
Mass density ... 6.95 Mg/m³
Formation energy without anion corrections ... 1722 meV/atom



5.
## FePtPb2Br (GGA-PBEsol)

Data for a relaxed structure of FePtPb2Br.

a = 5.587 Å, b = 5.587 Å, c = 4.207 Å
α = 90.00°, β = 90.00°, γ = 90.00°
Element x y z (fractional)
Fe1 0.000 0.000 0.000
Pt1 0.500 0.500 0.000
Pb1 0.000 0.500 0.500
Pb2 0.500 0.000 0.500
Br1 0.000 0.000 0.500

Results
Space group ... P4/mmm
M_tot ... 1.9 μB per formula unit
Mass density ... 9.42 Mg/m³
Formation energy without anion corrections ... 1074 meV/atom



6.
## FePbSeBr2 (GGA-PBEsol)

Data for a relaxed structure of FePbSeBr2.

a = 4.907 Å, b = 4.907 Å, c = 4.892 Å
α = 90.00°, β = 90.00°, γ = 90.00°
Element x y z (fractional)
Fe1 0.000 0.000 0.000
Pb1 0.500 0.500 0.500
Se1 0.000 0.000 0.500
Br1 0.000 0.500 0.000
Br2 0.500 0.000 0.000

Results
Space group ... P4/mmm
M_tot ... 3.1 μB per formula unit
Mass density ... 7.07 Mg/m³
Formation energy without anion corrections ... -172 meV/atom



7.
## FePtBr2 (GGA-PBEsol)

Data for a relaxed structure of FePtBr2.

a = 3.507 Å, b = 3.319 Å, c = 7.315 Å
α = 90.00°, β = 99.05°, γ = 90.00°
Element x y z (fractional)
Fe1 0.000 0.000 0.000
Pt1 0.574 0.500 0.137
Br1 0.241 0.000 0.348
Br2 0.892 0.500 0.749

Results
Space group ... Pm
M_tot ... 3.9 μB per formula unit
Mass density ... 8.11 Mg/m³
Formation energy without anion corrections ... 99 meV/atom
Relative energy among the computed polymorphs ... 0.00 eV per formula unit



8.
## FePtBr2 (GGA-PBEsol)

Data for a relaxed structure of FePtBr2.

a = 3.387 Å, b = 3.387 Å, c = 8.275 Å
α = 90.00°, β = 90.00°, γ = 115.13°
Element x y z (fractional)
Fe1 0.000 0.000 0.000
Pt1 0.500 0.500 0.816
Br1 0.000 0.000 0.598
Br2 0.500 0.500 0.206

Results
Space group ... Cmm2
M_tot ... 3.6 μB per formula unit
Mass density ... 7.94 Mg/m³
Formation energy without anion corrections ... 195 meV/atom
Relative energy among the computed polymorphs ... 0.38 eV per formula unit



Across the entries above, density of states at the Fermi level takes the values 3.32, 2.60, 3.10, 6.70, 4.25, 5.23, 1.09, 2.62 states/eV/cell, respectively.